Entry 1:
# Sb2AsP2 | Alexandria | GGA-PBE | optimized geometry
# Uncorrected energy   -4.431 eV per atom
# Magnetic moment   0.0 μB per cell
# Calculated density   5.71 g cm⁻³
# Uncorrected formation energy   312 meV/atom
# DOS at the Fermi energy   3.85 states/eV/cell
data_Sb2AsP2
_chemical_formula_sum 'Sb4 As2 P4'
_cell_length_a 5.353
_cell_length_b 5.353
_cell_length_c 7.720
_cell_angle_alpha 90.00
_cell_angle_beta 90.00
_cell_angle_gamma 90.00
_symmetry_space_group_name_H-M 'I 4/m m m'
_symmetry_Int_Tables_number 139
_symmetry_space_group_name_Hall '-I 4 2'
loop_
_atom_site_label
_atom_site_type_symbol
_atom_site_fract_x
_atom_site_fract_y
_atom_site_fract_z
Sb1 Sb 0.000 0.500 0.250
As1 As 0.000 0.000 0.000
P1 P 0.000 0.000 0.352

Entry 2:
# BeSi2PdSe | Alexandria | GGA-PBE | optimized geometry
# Uncorrected energy   -4.116 eV per atom
# Magnetic moment   0.0 μB per cell
# Calculated density   5.01 g cm⁻³
# Uncorrected formation energy   534 meV/atom
# DOS at the Fermi energy   1.20 states/eV/cell
data_BeSi2PdSe
_chemical_formula_sum 'Be1 Si2 Pd1 Se1'
_cell_length_a 4.184
_cell_length_b 4.184
_cell_length_c 4.748
_cell_angle_alpha 90.00
_cell_angle_beta 90.00
_cell_angle_gamma 90.00
_symmetry_space_group_name_H-M 'P 4/m m m'
_symmetry_Int_Tables_number 123
_symmetry_space_group_name_Hall '-P 4 2'
loop_
_atom_site_label
_atom_site_type_symbol
_atom_site_fract_x
_atom_site_fract_y
_atom_site_fract_z
Be1 Be 0.000 0.000 0.000
Si1 Si 0.000 0.500 0.000
Pd1 Pd 0.500 0.500 0.500
Se1 Se 0.000 0.000 0.500

Entry 3:
# Tl2CdPd4 | Alexandria | GGA-PBE | optimized geometry
# Uncorrected energy   -3.890 eV per atom
# Magnetic moment   0.0 μB per cell
# Calculated density   10.26 g cm⁻³
# DOS at the Fermi energy   5.77 states/eV/cell
data_Tl2CdPd4
_chemical_formula_sum 'Tl4 Cd2 Pd8'
_cell_length_a 6.873
_cell_length_b 6.912
_cell_length_c 7.191
_cell_angle_alpha 71.62
_cell_angle_beta 71.26
_cell_angle_gamma 87.01
_symmetry_space_group_name_H-M 'P -1'
_symmetry_Int_Tables_number 2
_symmetry_space_group_name_Hall '-P 1'
loop_
_atom_site_label
_atom_site_type_symbol
_atom_site_fract_x
_atom_site_fract_y
_atom_site_fract_z
Tl1 Tl 0.000 0.000 0.000
Tl2 Tl 0.000 0.000 0.500
Tl3 Tl 0.000 0.500 0.000
Tl4 Tl 0.500 0.000 0.500
Cd1 Cd 0.455 0.537 0.252
Pd1 Pd 0.037 0.655 0.315
Pd2 Pd 0.242 0.663 0.591
Pd3 Pd 0.337 0.758 0.911
Pd4 Pd 0.348 0.957 0.188

Entry 4:
# CrHgMo2 | Alexandria | GGA-PBE | optimized geometry
# Uncorrected energy   -7.331 eV per atom
# Magnetic moment   9.1 μB per cell
# Calculated density   11.23 g cm⁻³
# DOS at the Fermi energy   14.32 states/eV/cell
data_CrHgMo2
_chemical_formula_sum 'Cr4 Hg4 Mo8'
_cell_length_a 6.405
_cell_length_b 6.405
_cell_length_c 6.405
_cell_angle_alpha 90.00
_cell_angle_beta 90.00
_cell_angle_gamma 90.00
_symmetry_space_group_name_H-M 'F -4 3 m'
_symmetry_Int_Tables_number 216
_symmetry_space_group_name_Hall 'F -4 2 3'
loop_
_atom_site_label
_atom_site_type_symbol
_atom_site_fract_x
_atom_site_fract_y
_atom_site_fract_z
Cr1 Cr 0.000 0.000 0.000
Hg1 Hg 0.250 0.250 0.250
Mo1 Mo 0.000 0.000 0.500
Mo2 Mo 0.250 0.250 0.750

Entry 5:
# La2AlGa4Ni3 | Alexandria | GGA-PBE | optimized geometry
# Uncorrected energy   -4.875 eV per atom
# Magnetic moment   0.0 μB per cell
# Calculated density   6.87 g cm⁻³
# DOS at the Fermi energy   7.16 states/eV/cell
data_La2AlGa4Ni3
_chemical_formula_sum 'La2 Al1 Ga4 Ni3'
_cell_length_a 4.204
_cell_length_b 4.204
_cell_length_c 10.386
_cell_angle_alpha 90.00
_cell_angle_beta 90.00
_cell_angle_gamma 90.00
_symmetry_space_group_name_H-M 'P -4 m 2'
_symmetry_Int_Tables_number 115
_symmetry_space_group_name_Hall 'P -4 -2'
loop_
_atom_site_label
_atom_site_type_symbol
_atom_site_fract_x
_atom_site_fract_y
_atom_site_fract_z
La1 La 0.000 0.500 0.242
Al1 Al 0.000 0.000 0.500
Ga1 Ga 0.000 0.000 0.000
Ga2 Ga 0.000 0.500 0.642
Ga3 Ga 0.500 0.500 0.000
Ni1 Ni 0.000 0.500 0.875
Ni2 Ni 0.500 0.500 0.500

Entry 6:
# VW3S | Alexandria | GGA-PBE | optimized geometry
# Uncorrected energy   -9.495 eV per atom
# Magnetic moment   2.0 μB per cell
# Calculated density   12.33 g cm⁻³
# Uncorrected formation energy   926 meV/atom
# DOS at the Fermi energy   4.21 states/eV/cell
# E above lowest polymorph   0 meV per atom
data_VW3S
_chemical_formula_sum 'V1 W3 S1'
_cell_length_a 4.405
_cell_length_b 4.405
_cell_length_c 4.405
_cell_angle_alpha 90.00
_cell_angle_beta 90.00
_cell_angle_gamma 90.00
_symmetry_space_group_name_H-M 'P m -3 m'
_symmetry_Int_Tables_number 221
_symmetry_space_group_name_Hall '-P 4 2 3'
loop_
_atom_site_label
_atom_site_type_symbol
_atom_site_fract_x
_atom_site_fract_y
_atom_site_fract_z
V1 V 0.000 0.000 0.000
W1 W 0.000 0.500 0.500
S1 S 0.500 0.500 0.500